# InFe4Mo | Alexandria | PBE | relaxed
# **Total DFT energy (no corrections)**: -187.16 eV/cell
# **Formation enthalpy at 0 K**: 0.11 eV/atom
data_InFe4Mo
_space_group_name_H-M_alt 'F -4 3 m'
_space_group_IT_number 216
_space_group_name_Hall 'F -4 2 3'
_cell_length_a 6.831
_cell_length_b 6.831
_cell_length_c 6.831
_cell_angle_alpha 90.00
_cell_angle_beta 90.00
_cell_angle_gamma 90.00
loop_
_atom_site_label
_atom_site_type_symbol
_atom_site_fract_x
_atom_site_fract_y
_atom_site_fract_z
In1 In 0.000 0.000 0.000
Fe1 Fe 0.124 0.124 0.376
Mo1 Mo 0.250 0.250 0.750